(1)
Compound: La12PmHo5
Source: Alexandria
Functional: PBE
Structure: optimized geometry

Computed properties:
crystal system	orthorhombic
size of the total moment	0.000	μB/f.u.
energy of formation	0.096	eV/atom
mass density	6.87	Mg/m³

The structure in CIF format:
```
data_La12PmHo5
_chemical_formula_sum 'La24 Pm2 Ho10'
_cell_length_a 11.546
_cell_length_b 18.237
_cell_length_c 6.055
_cell_angle_alpha 90.00
_cell_angle_beta 90.00
_cell_angle_gamma 90.00
_symmetry_space_group_name_H-M 'C m m m'
_symmetry_Int_Tables_number 65
_symmetry_space_group_name_Hall '-C 2 2'
loop_
_atom_site_label
_atom_site_type_symbol
_atom_site_fract_x
_atom_site_fract_y
_atom_site_fract_z
La1 La 0.155 0.171 0.000
La2 La 0.156 0.000 0.500
La3 La 0.157 0.333 0.500
La4 La 0.160 0.500 0.000
Pm1 Pm 0.000 0.000 0.000
Ho1 Ho 0.000 0.166 0.500
Ho2 Ho 0.000 0.337 0.000
Ho3 Ho 0.000 0.500 0.500
```

(2)
Compound: LaPm5Ho2
Source: Alexandria
Functional: PBE
Structure: optimized geometry

Computed properties:
crystal system	monoclinic
size of the total moment	0.000	μB/f.u.
energy of formation	0.107	eV/atom
mass density	7.24	Mg/m³

The structure in CIF format:
```
data_LaPm5Ho2
_chemical_formula_sum 'La8 Pm40 Ho16'
_cell_length_a 23.462
_cell_length_b 6.462
_cell_length_c 17.741
_cell_angle_alpha 90.00
_cell_angle_beta 125.46
_cell_angle_gamma 90.00
_symmetry_space_group_name_H-M 'C 1 2/c 1'
_symmetry_Int_Tables_number 15
_symmetry_space_group_name_Hall '-C 2yc'
loop_
_atom_site_label
_atom_site_type_symbol
_atom_site_fract_x
_atom_site_fract_y
_atom_site_fract_z
La1 La 0.117 0.151 0.115
Pm1 Pm 0.020 0.051 0.860
Pm2 Pm 0.053 0.328 0.517
Pm3 Pm 0.154 0.420 0.967
Pm4 Pm 0.165 0.023 0.836
Pm5 Pm 0.204 0.364 0.719
Ho1 Ho 0.066 0.462 0.229
Ho2 Ho 0.223 0.090 0.561
```

(3)
Compound: La16Pm7Ho6
Source: Alexandria
Functional: PBE
Structure: optimized geometry

Computed properties:
crystal system	cubic
size of the total moment	0.000	μB/f.u.
energy of formation	0.201	eV/atom
mass density	6.51	Mg/m³

The structure in CIF format:
```
data_La16Pm7Ho6
_chemical_formula_sum 'La64 Pm28 Ho24'
_cell_length_a 16.277
_cell_length_b 16.277
_cell_length_c 16.277
_cell_angle_alpha 90.00
_cell_angle_beta 90.00
_cell_angle_gamma 90.00
_symmetry_space_group_name_H-M 'F m -3 m'
_symmetry_Int_Tables_number 225
_symmetry_space_group_name_Hall '-F 4 2 3'
loop_
_atom_site_label
_atom_site_type_symbol
_atom_site_fract_x
_atom_site_fract_y
_atom_site_fract_z
La1 La 0.125 0.125 0.125
La2 La 0.151 0.151 0.349
Pm1 Pm 0.000 0.000 0.000
Pm2 Pm 0.000 0.250 0.250
Ho1 Ho 0.000 0.000 0.262
```

(4)
Compound: La16Pm6Ho7
Source: Alexandria
Functional: PBE
Structure: optimized geometry

Computed properties:
crystal system	cubic
size of the total moment	1.587	μB/f.u.
energy of formation	0.187	eV/atom
mass density	6.77	Mg/m³

The structure in CIF format:
```
data_La16Pm6Ho7
_chemical_formula_sum 'La64 Pm24 Ho28'
_cell_length_a 16.091
_cell_length_b 16.091
_cell_length_c 16.091
_cell_angle_alpha 90.00
_cell_angle_beta 90.00
_cell_angle_gamma 90.00
_symmetry_space_group_name_H-M 'F m -3 m'
_symmetry_Int_Tables_number 225
_symmetry_space_group_name_Hall '-F 4 2 3'
loop_
_atom_site_label
_atom_site_type_symbol
_atom_site_fract_x
_atom_site_fract_y
_atom_site_fract_z
La1 La 0.121 0.121 0.121
La2 La 0.154 0.154 0.346
Pm1 Pm 0.000 0.000 0.298
Ho1 Ho 0.000 0.000 0.000
Ho2 Ho 0.000 0.250 0.250
```

(5)
Compound: La3Pm4Ho3
Source: Alexandria
Functional: PBE
Structure: optimized geometry

Computed properties:
crystal system	orthorhombic
size of the total moment	0.000	μB/f.u.
energy of formation	0.083	eV/atom
mass density	7.08	Mg/m³

The structure in CIF format:
```
data_La3Pm4Ho3
_chemical_formula_sum 'La6 Pm8 Ho6'
_cell_length_a 3.820
_cell_length_b 13.568
_cell_length_c 13.499
_cell_angle_alpha 90.00
_cell_angle_beta 90.00
_cell_angle_gamma 90.00
_symmetry_space_group_name_H-M 'A m m 2'
_symmetry_Int_Tables_number 38
_symmetry_space_group_name_Hall 'A 2 -2'
loop_
_atom_site_label
_atom_site_type_symbol
_atom_site_fract_x
_atom_site_fract_y
_atom_site_fract_z
La1 La 0.000 0.000 0.000
La2 La 0.500 0.245 0.419
Pm1 Pm 0.500 0.000 0.544
Pm2 Pm 0.500 0.000 0.795
Pm3 Pm 0.500 0.129 0.174
Ho1 Ho 0.000 0.000 0.342
Ho2 Ho 0.000 0.169 0.669
```

(6)
Compound: LaPm3Ho5
Source: Alexandria
Functional: PBE
Structure: optimized geometry

Computed properties:
crystal system	tetragonal
size of the total moment	0.000	μB/f.u.
energy of formation	0.244	eV/atom
mass density	7.83	Mg/m³

The structure in CIF format:
```
data_LaPm3Ho5
_chemical_formula_sum 'La4 Pm12 Ho20'
_cell_length_a 8.714
_cell_length_b 8.714
_cell_length_c 15.615
_cell_angle_alpha 90.00
_cell_angle_beta 90.00
_cell_angle_gamma 90.00
_symmetry_space_group_name_H-M 'I 4/m c m'
_symmetry_Int_Tables_number 140
_symmetry_space_group_name_Hall '-I 4 2c'
loop_
_atom_site_label
_atom_site_type_symbol
_atom_site_fract_x
_atom_site_fract_y
_atom_site_fract_z
La1 La 0.000 0.500 0.250
Pm1 Pm 0.000 0.000 0.250
Pm2 Pm 0.118 0.382 0.000
Ho1 Ho 0.000 0.000 0.000
Ho2 Ho 0.207 0.293 0.364
```